Here is YV6Sn6 after structural relaxation from Alexandria. Energies are from GGA-PBEsol.

```
YV6Sn6
1.0
-5.1643 0.6094 1.5604
2.5874 -4.6785 0.9452
2.8180 3.1909 8.0802
Y V Sn
1 6 6
direct
0.0000 0.0000 0.0000 Y
0.5000 0.5000 0.2485 V
0.0000 0.5000 0.2485 V
0.5000 0.0000 0.2485 V
0.5000 0.5000 0.7515 V
0.0000 0.5000 0.7515 V
0.5000 0.0000 0.7515 V
0.0000 0.0000 0.3304 Sn
0.0000 0.0000 0.6696 Sn
0.6667 0.3333 0.5000 Sn
0.3333 0.6667 0.5000 Sn
0.6667 0.3333 0.0000 Sn
0.3333 0.6667 0.0000 Sn
```

Results
- VASP energy: -7.22 eV/atom
- N(E_F): 5.00 states/eV per cell
- Symmetry: P6/mmm
- Spin magnetization: 0.0 μB per formula unit